--- A ---
Compound: NaPrFeSe3
Source: OQMD
Functional: PBE
Structure: optimized geometry

Unit cell a=11.5082 b=4.2262 c=12.1566 alpha=90.00 beta=90.00 gamma=90.00
Closest atoms and distances in Å follow each position.
Atoms (fractional coordinates):
Na 0.1693 0.2500 0.0015  7 Se 3.07-3.34
Na 0.3307 0.7500 0.5015  7 Se 3.07-3.34
Na 0.6693 0.2500 0.4985  7 Se 3.07-3.34
Na 0.8307 0.7500 0.9985  7 Se 3.07-3.34
Pr 0.0193 0.2500 0.6797  7 Se 3.00-3.13
Pr 0.4807 0.7500 0.1797  7 Se 3.00-3.13
Pr 0.5193 0.2500 0.8203  7 Se 3.00-3.13
Pr 0.9807 0.7500 0.3203  7 Se 3.00-3.13
Fe 0.2473 0.2500 0.2862  4 Se 2.40-2.46
Fe 0.2527 0.7500 0.7862  4 Se 2.40-2.46
Fe 0.7473 0.2500 0.2138  4 Se 2.40-2.46
Fe 0.7527 0.7500 0.7138  4 Se 2.40-2.46
Se 0.0560 0.7500 0.8527  1 Fe 2.40
Se 0.1149 0.2500 0.4404  1 Fe 2.41
Se 0.2137 0.7500 0.1869  2 Fe 2.46
Se 0.2863 0.2500 0.6869  2 Fe 2.46
Se 0.3851 0.7500 0.9404  1 Fe 2.41
Se 0.4440 0.2500 0.3527  1 Fe 2.40
Se 0.5560 0.7500 0.6473  1 Fe 2.40
Se 0.6149 0.2500 0.0596  1 Fe 2.41
Se 0.7137 0.7500 0.3131  2 Fe 2.46
Se 0.7863 0.2500 0.8131  2 Fe 2.46
Se 0.8851 0.7500 0.5596  1 Fe 2.41
Se 0.9440 0.2500 0.1473  1 Fe 2.40

Calculated values
Its space group is Pnma.



--- B ---
Compound: NaPrFeSe3
Source: OQMD
Functional: PBE
Structure: optimized geometry

Unit cell a=7.0626 b=7.0626 c=11.2705 alpha=90.00 beta=90.00 gamma=145.75
Closest atoms and distances in Å follow each position.
Atoms (fractional coordinates):
Na 0.2451 0.7549 0.7500  6 Se 3.15-3.16
Na 0.7549 0.2451 0.2500  6 Se 3.15-3.16
Pr 0.0000 0.0000 0.0000  6 Se 2.96-3.01
Pr 0.0000 0.0000 0.5000  6 Se 2.96-3.01
Fe 0.4728 0.5272 0.2500  4 Se 2.42-2.52
Fe 0.5272 0.4728 0.7500  4 Se 2.42-2.52
Se 0.0788 0.9212 0.2500  2 Fe 2.52
Se 0.3605 0.6395 0.0827  1 Fe 2.42
Se 0.3605 0.6395 0.4173  1 Fe 2.42
Se 0.6395 0.3605 0.5827  1 Fe 2.42
Se 0.6395 0.3605 0.9173  1 Fe 2.42
Se 0.9212 0.0788 0.7500  2 Fe 2.52

Calculated values
Its space group is Cmcm.



Order of stability, best first: A, B